1.
VASP calculation (PBE) on a relaxed AgPb crystal.

```
12
Lattice="3.4852 0.0000 0.0000 0.0000 5.0854 0.0000 0.0000 0.0000 16.8570" Properties=species:S:1:pos:R:3 pbc="T T T"
Ag 0.0000 4.7464 11.4794
Ag 1.7426 0.3389 13.8061
Ag 1.7426 0.3389 3.0509
Ag 0.0000 4.7464 5.3776
Ag 0.0000 4.1343 0.0000
Ag 1.7426 0.9510 8.4285
Pb 0.0000 2.8850 14.1157
Pb 1.7426 2.2003 11.1698
Pb 1.7426 2.2003 5.6872
Pb 0.0000 2.8850 2.7413
Pb 0.0000 3.5830 8.4285
Pb 1.7426 1.5024 0.0000
```

Calculated density ... 10.5 g cm⁻³
Formation energy from the elements ... 140.3 meV/atom
Space group ... No. 59
Total moment ... 0.00 Bohr magnetons per cell



2.
VASP calculation (PBE) on a relaxed ZrAgPO2 crystal.

```
5
Lattice="4.0449 0.0000 0.0000 0.0000 4.0449 0.0000 0.0000 0.0000 4.7108" Properties=species:S:1:pos:R:3 pbc="T T T"
O 0.0000 2.0224 0.0000
O 2.0224 0.0000 0.0000
P 0.0000 0.0000 2.3554
Zr 2.0224 2.0224 2.3554
Ag 0.0000 0.0000 0.0000
```

Calculated density ... 5.6 g cm⁻³
Raw formation energy ... -0.074 eV per atom
E above lowest polymorph ... 1.0534 eV per atom
Space group ... No. 123
Total moment ... 0.00 Bohr magnetons per cell



3.
VASP calculation (PBE) on a relaxed ZrScNbMo crystal.

```
4
Lattice="-3.4658 -2.8034 1.7078 -2.1287 -3.1746 -2.8597 0.7893 -4.6682 0.6103" Properties=species:S:1:pos:R:3 pbc="T T T"
Sc 0.0000 0.0000 0.0000
Mo -2.4026 -5.3231 -0.2708
Nb -1.2013 -2.6615 -0.1354
Zr -3.6039 -7.9846 -0.4062
```

Calculated density ... 7.0 g cm⁻³
Formation energy from the elements ... 100.1 meV/atom
Space group ... No. 216
Total moment ... 0.00 Bohr magnetons per cell



4.
VASP calculation (PBE) on a relaxed K2BaIr crystal.

```
4
Lattice="0.0000 4.0116 4.0116 4.0116 0.0000 4.0116 4.0116 4.0116 0.0000" Properties=species:S:1:pos:R:3 pbc="T T T"
K 2.0058 2.0058 2.0058
K 6.0174 6.0174 6.0174
Ir 4.0116 4.0116 4.0116
Ba 0.0000 0.0000 0.0000
```

Calculated density ... 5.2 g cm⁻³
Formation energy from the elements ... 704.4 meV/atom
E above lowest polymorph ... 0.3965 eV per atom
Space group ... No. 225
Total moment ... 0.00 Bohr magnetons per cell



5.
VASP calculation (PBE) on a relaxed Sr2UBeSe5 crystal.

```
18
Lattice="-3.0635 -2.0061 1.8592 1.6583 -5.2564 -7.4750 8.6182 -6.8952 6.7606" Properties=species:S:1:pos:R:3 pbc="T T T"
Sr 5.7842 -11.6150 1.5340
Sr 5.9791 -6.2078 3.1537
Sr 2.9378 -3.7499 0.7945
Sr 0.2063 -7.1276 -2.8151
U 3.0775 -8.4409 0.4989
U 0.2725 -2.6261 -2.3845
Be 6.4184 -8.1484 6.3194
Be 3.7353 -8.3619 -2.8678
Se 0.2127 -4.4728 -4.4758
Se 6.0270 -9.3586 4.3687
Se 5.1417 -6.3852 6.1184
Se 5.9103 -8.4389 0.6329
Se 3.0005 -10.2704 -1.6020
Se 2.9397 -6.4360 2.4352
Se 3.2813 -6.4754 -1.5803
Se 2.4892 -8.1067 -4.6457
Se 0.0435 -4.7112 -0.4760
Se 0.1178 -0.6111 -0.4654
```

Calculated density ... 5.6 g cm⁻³
Raw formation energy ... -1.440 eV per atom
Space group ... No. 36
Total moment ... 4.00 Bohr magnetons per cell



6.
VASP calculation (PBE) on a relaxed Tb7CeNd12 crystal.

```
20
Lattice="-2.8408 5.5249 -0.3032 -7.8757 -6.0613 5.8717 9.6193 2.9232 5.6717" Properties=species:S:1:pos:R:3 pbc="T T T"
Tb -6.3062 -3.9297 4.4134
Tb -0.1694 5.5714 1.1093
Tb -0.4895 1.1471 8.5518
Tb -1.4204 2.7625 -0.1516
Tb -0.6077 1.2398 2.6884
Tb -0.9278 -3.1845 10.1309
Tb 5.2090 6.3165 6.8268
Ce 0.0000 0.0000 0.0000
Nd -3.1892 -2.5634 4.4186
Nd 4.0242 1.1393 4.3380
Nd -6.7131 -0.7356 3.6143
Nd 2.2048 3.3875 1.8841
Nd 0.9866 1.9808 5.6008
Nd 0.9249 -1.6346 7.4258
Nd -2.0221 4.0215 3.8145
Nd -2.0839 0.4060 5.6394
Nd -3.3021 -1.0007 9.3562
Nd 5.6158 3.1225 7.6260
Nd -5.1215 1.2476 6.9022
Nd 2.0919 4.9502 6.8216
```

Calculated density ... 7.1 g cm⁻³
Formation energy from the elements ... 235.8 meV/atom
E above lowest polymorph ... 0.0977 eV per atom
Space group ... No. 166
Total moment ... 0.01 Bohr magnetons per cell



7.
VASP calculation (PBE) on a relaxed YFe2Co crystal.

```
4
Lattice="-0.7576 -3.1377 2.8596 3.2937 -1.5795 -0.8604 1.6734 2.0330 2.6740" Properties=species:S:1:pos:R:3 pbc="T T T"
Co 0.4579 -0.5524 2.7668
Fe 0.0000 0.0000 0.0000
Fe 2.4836 0.2267 0.9068
Y 1.2680 -2.3586 0.9996
```

Calculated density ... 7.1 g cm⁻³
Formation energy from the elements ... 245.5 meV/atom
Space group ... No. 123
Total moment ... 5.53 Bohr magnetons per cell



8.
VASP calculation (PBE) on a relaxed Pm2Dy2Sb5 crystal.

```
18
Lattice="8.2613 0.0000 0.0000 0.0000 7.6812 -4.5878 0.0000 -0.8623 8.9054" Properties=species:S:1:pos:R:3 pbc="T T T"
Pm 0.0000 6.0473 -2.0072
Pm 4.1307 1.7755 4.7394
Pm 0.0000 0.7717 6.3248
Pm 4.1307 5.0434 -0.4218
Dy 2.7977 1.0712 0.6782
Dy 5.4637 5.7478 3.6393
Dy 6.9284 2.3383 1.4806
Dy 1.3330 4.4806 2.8370
Sb 0.0000 0.0000 0.0000
Sb 4.1307 3.4095 2.1588
Sb 1.1883 1.2605 3.3871
Sb 7.0730 3.2182 4.6266
Sb 5.3190 -0.1913 2.4678
Sb 2.9424 4.6700 5.5459
Sb 7.0730 5.5584 0.9305
Sb 1.1883 3.6008 -0.3090
Sb 2.9424 7.0103 1.8498
Sb 5.3190 2.1489 -1.2283
```

Calculated density ... 7.6 g cm⁻³
Raw formation energy ... -0.883 eV per atom
Space group ... No. 64
Total moment ... 0.00 Bohr magnetons per cell



9.
VASP calculation (PBE) on a relaxed DyBeSi2Pd crystal.

```
5
Lattice="-3.8738 0.1366 0.7164 0.0301 -3.8388 0.8951 2.8655 2.9974 4.0783" Properties=species:S:1:pos:R:3 pbc="T T T"
Dy 0.0000 0.0000 0.0000
Be 0.4869 -1.3463 2.8896
Si -1.7044 -1.5870 1.9311
Si 0.7262 0.8822 3.7588
Pd -1.4651 0.6415 2.8002
```

Calculated density ... 7.0 g cm⁻³
Raw formation energy ... -0.723 eV per atom
Space group ... No. 119
Total moment ... 0.00 Bohr magnetons per cell



10.
VASP calculation (PBE) on a relaxed SrZn2SbMo crystal.

```
5
Lattice="5.5926 0.0000 0.0000 0.0000 6.1265 0.0000 0.0000 0.0000 5.5926" Properties=species:S:1:pos:R:3 pbc="T T T"
Sb 0.0000 3.0632 0.0000
Mo 2.7963 3.0632 2.7963
Zn 0.0000 0.0000 2.7963
Zn 2.7963 0.0000 0.0000
Sr 0.0000 0.0000 0.0000
```

Calculated density ... 3.8 g cm⁻³
Raw formation energy ... 1.465 eV per atom
Space group ... No. 123
Total moment ... 4.51 Bohr magnetons per cell



11.
VASP calculation (PBE) on a relaxed Tb3TaN4 crystal.

```
16
Lattice="4.9224 0.0000 0.0000 0.0000 6.6686 0.0000 0.0000 0.0000 7.9269" Properties=species:S:1:pos:R:3 pbc="T T T"
Tb 2.7790 5.6066 0.0000
Tb 0.3161 4.4631 1.9576
Tb 2.7773 2.2055 2.0058
Tb 0.3178 1.0621 3.9635
Tb 2.7773 2.2055 5.9211
Tb 0.3161 4.4631 5.9693
Ta 0.1515 1.2040 0.0000
Ta 2.6127 5.4647 3.9635
N 0.3017 5.8617 0.0000
N 3.0180 1.1857 0.0000
N 0.2882 2.0612 1.8453
N 2.7494 4.6075 2.1182
N 0.5568 5.4830 3.9635
N 2.7629 0.8070 3.9635
N 2.7494 4.6075 5.8087
N 0.2882 2.0612 6.0817
```

Calculated density ... 9.1 g cm⁻³
Raw formation energy ... -1.399 eV per atom
E above lowest polymorph ... 0.1078 eV per atom
Space group ... No. 31
Total moment ... 0.00 Bohr magnetons per cell



12.
VASP calculation (PBE) on a relaxed Ba2Si2Ru2C crystal.

```
7
Lattice="4.2164 0.0000 0.0000 2.1082 5.8299 -0.4028 2.1082 1.8006 6.3547" Properties=species:S:1:pos:R:3 pbc="T T T"
Ba 4.2164 2.3789 4.2428
Ba 4.2164 5.2516 1.7091
Si 2.1082 2.5431 1.2203
Si 6.3246 5.0874 4.7316
Ru 4.2164 5.7706 5.6405
Ru 4.2164 1.8600 0.3114
C 0.0000 0.0000 0.0000
```

Calculated density ... 5.7 g cm⁻³
Raw formation energy ... -0.401 eV per atom
Space group ... No. 12
Total moment ... 0.00 Bohr magnetons per cell